Model 1:
VASP calculation (PBE-GGA) on La2TbAg after structural relaxation.

Properties
The density of states at the Fermi level comes out at 3.64 states/eV/cell. As for the total magnetization: 0.000 μB per cell.

Cell: 5.576 5.576 5.576 Å, 60.00 60.00 60.00°
Positions (direct):
La1 0.250 0.250 0.250
La2 0.750 0.750 0.750
Tb1 0.000 0.000 0.000
Ag1 0.500 0.500 0.500

=====

Model 2:
VASP calculation (PBE-GGA) on La2TbAg after structural relaxation.

Properties
The density of states at the Fermi level comes out at 4.76 states/eV/cell. As for the total magnetization: 0.000 μB per cell.

Cell: 10.885 10.885 10.885 Å, 19.72 19.72 19.72°
Positions (direct):
La1 0.000 0.000 0.000
La2 0.182 0.182 0.182
Tb1 0.424 0.424 0.424
Ag1 0.592 0.592 0.592

=====

Tell me which of them is the most stable. Sure, it is model 2.

=====

Model 1:
VASP calculation (PBE-GGA) on LaTb4Ag after structural relaxation.

Properties
The density of states at the Fermi level comes out at 8.86 states/eV/cell. As for the total magnetization: 0.003 μB per cell.

Cell: 3.628 3.628 13.891 Å, 90.00 90.00 90.00°
Positions (direct):
La1 0.000 0.000 0.000
Tb1 0.000 0.000 0.366
Tb2 0.000 0.000 0.634
Tb3 0.500 0.500 0.186
Tb4 0.500 0.500 0.814
Ag1 0.500 0.500 0.500

=====

Model 2:
VASP calculation (PBE-GGA) on LaTb4Ag after structural relaxation.

Properties
The density of states at the Fermi level comes out at 18.32 states/eV/cell. As for the total magnetization: 0.001 μB per cell.

Cell: 10.840 10.840 6.519 Å, 90.00 90.00 150.50°
Positions (direct):
La1 0.065 0.935 0.500
La2 0.935 0.065 0.000
Tb1 0.136 0.864 0.994
Tb2 0.256 0.744 0.618
Tb3 0.323 0.677 0.132
Tb4 0.465 0.535 0.331
Tb5 0.535 0.465 0.831
Tb6 0.677 0.323 0.632
Tb7 0.744 0.256 0.118
Tb8 0.864 0.136 0.494
Ag1 0.396 0.604 0.731
Ag2 0.604 0.396 0.231

=====

Tell me which of them is the most stable. Sure, it is model 1.

=====

Model 1:
VASP calculation (PBE-GGA) on LaTbAg4 after structural relaxation.

Properties
The density of states at the Fermi level comes out at 5.02 states/eV/cell. As for the total magnetization: 0.000 μB per cell.

Cell: 5.786 5.786 5.786 Å, 60.00 60.00 60.00°
Positions (direct):
La1 0.000 0.000 0.000
Tb1 0.250 0.250 0.250
Ag1 0.126 0.625 0.625
Ag2 0.625 0.126 0.625
Ag3 0.625 0.625 0.126
Ag4 0.625 0.625 0.625

=====

Model 2:
VASP calculation (PBE-GGA) on LaTbAg4 after structural relaxation.

Properties
The density of states at the Fermi level comes out at 2.88 states/eV/cell. As for the total magnetization: 0.000 μB per cell.

Cell: 5.485 5.485 5.408 Å, 90.00 90.00 120.84°
Positions (direct):
La1 0.000 0.000 0.000
Tb1 0.500 0.500 0.500
Ag1 0.178 0.822 0.500
Ag2 0.331 0.669 0.000
Ag3 0.669 0.331 0.000
Ag4 0.822 0.178 0.500

=====

Tell me which of them is the most stable. Sure, it is model 2.

=====

Model 1:
VASP calculation (PBE-GGA) on LaTb2Ag2 after structural relaxation.

Properties
The density of states at the Fermi level comes out at 11.91 states/eV/cell. As for the total magnetization: 0.000 μB per cell.

Cell: 5.272 4.965 11.208 Å, 90.00 94.90 90.00°
Positions (direct):
La1 0.200 0.250 0.246
La2 0.800 0.750 0.754
Tb1 0.251 0.750 0.494
Tb2 0.341 0.250 0.887
Tb3 0.659 0.750 0.113
Tb4 0.749 0.250 0.506
Ag1 0.145 0.750 0.004
Ag2 0.273 0.250 0.633
Ag3 0.727 0.750 0.367
Ag4 0.855 0.250 0.996

=====

Model 2:
VASP calculation (PBE-GGA) on LaTb2Ag2 after structural relaxation.

Properties
The density of states at the Fermi level comes out at 9.85 states/eV/cell. As for the total magnetization: 0.000 μB per cell.

Cell: 13.853 13.853 5.409 Å, 90.00 90.00 164.74°
Positions (direct):
La1 0.145 0.855 0.750
La2 0.855 0.145 0.250
Tb1 0.047 0.953 0.250
Tb2 0.234 0.766 0.250
Tb3 0.766 0.234 0.750
Tb4 0.953 0.047 0.750
Ag1 0.358 0.642 0.750
Ag2 0.457 0.543 0.250
Ag3 0.543 0.457 0.750
Ag4 0.642 0.358 0.250

=====

Tell me which of them is the most stable. Sure, it is model 2.

=====

Model 1:
VASP calculation (PBE-GGA) on LaTbTlAg after structural relaxation.

Properties
The density of states at the Fermi level comes out at 3.79 states/eV/cell. As for the total magnetization: 0.251 μB per cell.

Cell: 5.422 5.422 5.422 Å, 60.00 60.00 60.00°
Positions (direct):
La1 0.000 0.000 0.000
Tb1 0.500 0.500 0.500
Tl1 0.250 0.250 0.250
Ag1 0.750 0.750 0.750

=====

Model 2:
VASP calculation (PBE-GGA) on LaTbTlAg after structural relaxation.

Properties
The density of states at the Fermi level comes out at 3.48 states/eV/cell. As for the total magnetization: 0.303 μB per cell.

Cell: 3.733 3.733 7.992 Å, 90.00 90.00 90.00°
Positions (direct):
La1 0.000 0.000 0.000
Tb1 0.000 0.000 0.528
Tl1 0.500 0.500 0.277
Ag1 0.500 0.500 0.732

=====

Tell me which of them is the most stable. Sure, it is model 2.

=====

Model 1:
VASP calculation (PBE-GGA) on LaTbZnAg after structural relaxation.

Properties
The density of states at the Fermi level comes out at 3.12 states/eV/cell. As for the total magnetization: 0.000 μB per cell.

Cell: 5.256 5.256 5.256 Å, 60.00 60.00 60.00°
Positions (direct):
La1 0.000 0.000 0.000
Tb1 0.500 0.500 0.500
Zn1 0.750 0.750 0.750
Ag1 0.250 0.250 0.250

=====

Model 2:
VASP calculation (PBE-GGA) on LaTbZnAg after structural relaxation.

Properties
The density of states at the Fermi level comes out at 4.06 states/eV/cell. As for the total magnetization: 0.008 μB per cell.

Cell: 3.689 3.689 7.472 Å, 90.00 90.00 90.00°
Positions (direct):
La1 0.000 0.000 0.000
Tb1 0.000 0.000 0.485
Zn1 0.500 0.500 0.261
Ag1 0.500 0.500 0.714

=====

Tell me which of them is the most stable. Sure, it is model 2.

=====

Model 1:
VASP calculation (PBE-GGA) on LaTc2Ag after structural relaxation.

Properties
The density of states at the Fermi level comes out at 4.45 states/eV/cell. As for the total magnetization: 0.000 μB per cell.

Cell: 5.489 5.489 2.713 Å, 90.00 90.00 113.36°
Positions (direct):
La1 0.000 0.000 0.000
Tc1 0.000 0.500 0.500
Tc2 0.500 0.000 0.500
Ag1 0.500 0.500 0.000

=====

Model 2:
VASP calculation (PBE-GGA) on LaTc2Ag after structural relaxation.

Properties
The density of states at the Fermi level comes out at 4.15 states/eV/cell. As for the total magnetization: 0.000 μB per cell.

Cell: 4.775 4.775 4.775 Å, 60.00 60.00 60.00°
Positions (direct):
La1 0.000 0.000 0.000
Tc1 0.500 0.500 0.500
Tc2 0.750 0.750 0.750
Ag1 0.250 0.250 0.250

=====

Tell me which of them is the most stable. Sure, it is model 2.

=====

Model 1:
VASP calculation (PBE-GGA) on LaTc2Ag after structural relaxation.

Properties
The density of states at the Fermi level comes out at 3.56 states/eV/cell. As for the total magnetization: 0.001 μB per cell.

Cell: 3.122 3.122 8.043 Å, 90.00 90.00 90.00°
Positions (direct):
La1 0.000 0.000 0.000
Tc1 0.000 0.000 0.449
Tc2 0.500 0.500 0.286
Ag1 0.500 0.500 0.689

=====

Model 2:
VASP calculation (PBE-GGA) on LaTc2Ag after structural relaxation.

Properties
The density of states at the Fermi level comes out at 4.96 states/eV/cell. As for the total magnetization: 0.001 μB per cell.

Cell: 3.568 3.568 6.607 Å, 90.00 90.00 90.00°
Positions (direct):
La1 0.000 0.000 0.000
Tc1 0.500 0.500 0.325
Tc2 0.500 0.500 0.675
Ag1 0.000 0.000 0.500

=====

Model 3:
VASP calculation (PBE-GGA) on LaTc2Ag after structural relaxation.

Properties
The density of states at the Fermi level comes out at 2.83 states/eV/cell. As for the total magnetization: 0.585 μB per cell.

Cell: 10.325 10.325 10.325 Å, 16.29 16.29 16.29°
Positions (direct):
La1 0.000 0.000 0.000
Tc1 0.242 0.242 0.242
Tc2 0.510 0.510 0.510
Ag1 0.764 0.764 0.764

=====

Model 4:
VASP calculation (PBE-GGA) on LaTc2Ag after structural relaxation.

Properties
The density of states at the Fermi level comes out at 5.78 states/eV/cell. As for the total magnetization: 0.003 μB per cell.

Cell: 5.357 5.357 5.357 Å, 134.37 134.37 66.51°
Positions (direct):
La1 0.000 0.000 0.000
Tc1 0.250 0.750 0.500
Tc2 0.750 0.250 0.500
Ag1 0.500 0.500 0.000

=====

Tell me which of them is the most stable. Sure, it is model 1.

=====

Model 1:
VASP calculation (PBE-GGA) on La3TcAg after structural relaxation.

Properties
The density of states at the Fermi level comes out at 18.82 states/eV/cell. As for the total magnetization: 0.000 μB per cell.

Cell: 8.983 8.610 7.454 Å, 90.00 97.92 90.00°
Positions (direct):
La1 0.097 0.224 0.011
La2 0.097 0.276 0.511
La3 0.214 0.600 0.806
La4 0.214 0.900 0.306
La5 0.361 0.523 0.299
La6 0.361 0.977 0.799
La7 0.639 0.023 0.201
La8 0.639 0.477 0.701
La9 0.786 0.100 0.694
La10 0.786 0.400 0.194
La11 0.903 0.724 0.489
La12 0.903 0.776 0.989
Tc1 0.080 0.548 0.203
Tc2 0.080 0.952 0.703
Tc3 0.920 0.048 0.297
Tc4 0.920 0.452 0.797
Ag1 0.451 0.188 0.468
Ag2 0.451 0.312 0.968
Ag3 0.549 0.688 0.032
Ag4 0.549 0.812 0.532

=====

Model 2:
VASP calculation (PBE-GGA) on La3TcAg after structural relaxation.

Properties
The density of states at the Fermi level comes out at 5.56 states/eV/cell. As for the total magnetization: 0.000 μB per cell.

Cell: 5.466 5.466 5.466 Å, 90.00 90.00 90.00°
Positions (direct):
La1 0.000 0.000 0.500
La2 0.000 0.500 0.000
La3 0.500 0.000 0.000
Tc1 0.000 0.000 0.000
Ag1 0.500 0.500 0.500

=====

Tell me which of them is the most stable. Sure, it is model 1.

=====

Model 1:
VASP calculation (PBE-GGA) on La8TcAg2 after structural relaxation.

Properties
The density of states at the Fermi level comes out at 15.97 states/eV/cell. As for the total magnetization: 0.000 μB per cell.

Cell: 8.719 8.719 8.719 Å, 139.72 128.12 67.66°
Positions (direct):
La1 0.125 0.364 0.761
La2 0.144 0.144 0.000
La3 0.268 0.000 0.268
La4 0.397 0.636 0.761
La5 0.603 0.364 0.239
La6 0.732 0.000 0.732
La7 0.856 0.856 0.000
La8 0.875 0.636 0.239
Tc1 0.000 0.500 0.500
Ag1 0.310 0.810 0.500
Ag2 0.690 0.190 0.500

=====

Model 2:
VASP calculation (PBE-GGA) on La8TcAg2 after structural relaxation.

Properties
The density of states at the Fermi level comes out at 12.30 states/eV/cell. As for the total magnetization: 0.000 μB per cell.

Cell: 9.665 9.665 7.320 Å, 92.98 92.98 30.39°
Positions (direct):
La1 0.004 0.004 0.271
La2 0.214 0.214 0.831
La3 0.356 0.356 0.501
La4 0.410 0.410 0.016
La5 0.590 0.590 0.984
La6 0.644 0.644 0.499
La7 0.786 0.786 0.169
La8 0.996 0.996 0.729
Tc1 0.500 0.500 0.500
Ag1 0.182 0.182 0.247
Ag2 0.818 0.818 0.753

=====

Tell me which of them is the most stable. Sure, it is model 2.

=====

Model 1:
VASP calculation (PBE-GGA) on LaAg3Te after structural relaxation.

Properties
The density of states at the Fermi level comes out at 8.02 states/eV/cell. As for the total magnetization: 0.000 μB per cell.

Cell: 5.307 5.307 5.307 Å, 90.00 90.00 90.00°
Positions (direct):
La1 0.000 0.000 0.000
Ag1 0.000 0.500 0.500
Ag2 0.500 0.000 0.500
Ag3 0.500 0.500 0.000
Te1 0.500 0.500 0.500

=====

Model 2:
VASP calculation (PBE-GGA) on LaAg3Te after structural relaxation.

Properties
The density of states at the Fermi level comes out at 5.69 states/eV/cell. As for the total magnetization: 0.000 μB per cell.

Cell: 5.616 5.616 5.616 Å, 90.00 90.00 90.00°
Positions (direct):
La1 0.000 0.000 0.000
Ag1 0.000 0.000 0.500
Ag2 0.000 0.500 0.000
Ag3 0.500 0.000 0.000
Te1 0.500 0.500 0.500

=====

Tell me which of them is the most stable. Sure, it is model 1.

=====

Model 1:
VASP calculation (PBE-GGA) on La2AgTe2 after structural relaxation.

Properties
The density of states at the Fermi level comes out at 6.17 states/eV/cell. As for the total magnetization: 0.000 μB per cell.

Cell: 8.648 8.648 4.230 Å, 90.00 90.00 90.00°
Positions (direct):
La1 0.154 0.346 0.000
La2 0.346 0.846 0.000
La3 0.654 0.154 0.000
La4 0.846 0.654 0.000
Ag1 0.000 0.000 0.000
Ag2 0.500 0.500 0.000
Te1 0.148 0.648 0.500
Te2 0.352 0.148 0.500
Te3 0.648 0.852 0.500
Te4 0.852 0.352 0.500

=====

Model 2:
VASP calculation (PBE-GGA) on La2AgTe2 after structural relaxation.

Properties
The density of states at the Fermi level comes out at 5.28 states/eV/cell. As for the total magnetization: 0.000 μB per cell.

Cell: 8.596 8.596 4.139 Å, 90.00 90.00 90.00°
Positions (direct):
La1 0.156 0.344 0.000
La2 0.344 0.844 0.000
La3 0.656 0.156 0.000
La4 0.844 0.656 0.000
Ag1 0.000 0.000 0.500
Ag2 0.500 0.500 0.500
Te1 0.145 0.645 0.500
Te2 0.355 0.145 0.500
Te3 0.645 0.855 0.500
Te4 0.855 0.355 0.500

=====

Tell me which of them is the most stable. Sure, it is model 1.